Here is crystalline LaPm3Ho4 at its relaxed geometry from the Alexandria database. Energies are from GGA-PBE.

Unit cell a=3.6266 b=10.0533 c=7.2463 alpha=90.00 beta=90.07 gamma=90.00
Fractional positions:
La1 0.0000 0.0000 0.0000
Pm1 0.0000 0.0000 0.5000
Pm2 0.0000 0.5000 0.0000
Pm3 0.0000 0.5000 0.5000
Ho1 0.5001 0.2521 0.2517
Ho2 0.4999 0.2521 0.7483
Ho3 0.5001 0.7479 0.2517
Ho4 0.4999 0.7479 0.7483

* Fermi-level density of states: 11.9 states/eV/cell
* SG: No. 10
* energy of formation from the pure elements: 21 meV per atom
* calculated volume: 264.19 Å³/f.u.
* mass density: 7.8 g/cm³

---

Here is crystalline LaPm4Ho3 at its relaxed geometry from the Alexandria database. Energies are from GGA-PBE.

Unit cell a=11.6123 b=7.3538 c=6.3447 alpha=90.00 beta=90.00 gamma=90.00
Fractional positions:
La1 0.0000 0.1261 0.0000
La2 0.5000 0.8739 0.5000
Pm1 0.0000 0.3734 0.5076
Pm2 0.0000 0.6280 0.9988
Pm3 0.2459 0.6253 0.3371
Pm4 0.2541 0.3747 0.8371
Pm5 0.5000 0.3720 0.4988
Pm6 0.5000 0.6266 0.0076
Pm7 0.7459 0.3747 0.8371
Pm8 0.7541 0.6253 0.3371
Ho1 0.0000 0.8757 0.5026
Ho2 0.2495 0.1227 0.3360
Ho3 0.2505 0.8773 0.8360
Ho4 0.5000 0.1243 0.0026
Ho5 0.7495 0.8773 0.8360
Ho6 0.7505 0.1227 0.3360

* Fermi-level density of states: 28.2 states/eV/cell
* SG: No. 31
* energy of formation from the pure elements: 30 meV per atom
* calculated volume: 270.90 Å³/f.u.
* mass density: 7.4 g/cm³

---

Here is crystalline La2Pm2Ho5 at its relaxed geometry from the Alexandria database. Energies are from GGA-PBE.

Unit cell a=10.9925 b=10.9925 c=8.3880 alpha=100.37 beta=100.37 gamma=18.37
Fractional positions:
La1 0.1834 0.1834 0.1441
La2 0.8166 0.8166 0.8559
Pm1 0.4546 0.4546 0.6438
Pm2 0.5454 0.5454 0.3562
Ho1 0.0000 0.0000 0.0000
Ho2 0.0995 0.0995 0.7372
Ho3 0.3095 0.3095 0.4719
Ho4 0.6905 0.6905 0.5281
Ho5 0.9005 0.9005 0.2628

* Fermi-level density of states: 13.3 states/eV/cell
* SG: No. 12
* energy of formation from the pure elements: 221 meV per atom
* calculated volume: 314.10 Å³/f.u.
* mass density: 7.4 g/cm³

---

Here is crystalline La5Pm3Ho3 at its relaxed geometry from the Alexandria database. Energies are from GGA-PBE.

Unit cell a=11.4834 b=11.4834 c=3.4862 alpha=90.00 beta=90.00 gamma=120.00
Fractional positions:
La1 0.0000 0.3369 0.0000
La2 0.3333 0.6667 0.0000
La3 0.3369 0.0000 0.0000
La4 0.6631 0.6631 0.0000
La5 0.6667 0.3333 0.0000
Pm1 0.0000 0.5985 0.5000
Pm2 0.4015 0.4015 0.5000
Pm3 0.5985 0.0000 0.5000
Ho1 0.0000 0.8410 0.0000
Ho2 0.1590 0.1590 0.0000
Ho3 0.8410 0.0000 0.0000

* Fermi-level density of states: 16.9 states/eV/cell
* SG: No. 189
* energy of formation from the pure elements: 288 meV per atom
* calculated volume: 398.12 Å³/f.u.
* mass density: 6.8 g/cm³

---

Here is crystalline La2Pm3Ho7 at its relaxed geometry from the Alexandria database. Energies are from GGA-PBE.

Unit cell a=6.3884 b=3.5443 c=17.6387 alpha=90.00 beta=96.32 gamma=90.00
Fractional positions:
La1 0.0544 0.0000 0.1734
La2 0.9456 0.0000 0.8266
Pm1 0.4560 0.5000 0.8415
Pm2 0.5000 0.0000 0.5000
Pm3 0.5440 0.5000 0.1585
Ho1 0.0000 0.5000 0.5000
Ho2 0.2269 0.0000 0.6640
Ho3 0.2556 0.0000 0.0004
Ho4 0.2743 0.5000 0.3379
Ho5 0.7257 0.5000 0.6621
Ho6 0.7444 0.0000 0.9996
Ho7 0.7731 0.0000 0.3360

* Fermi-level density of states: 18.6 states/eV/cell
* SG: No. 10
* energy of formation from the pure elements: 89 meV per atom
* calculated volume: 396.96 Å³/f.u.
* mass density: 7.8 g/cm³

---

Here is crystalline La3PmHo5 at its relaxed geometry from the Alexandria database. Energies are from GGA-PBE.

Unit cell a=7.4624 b=7.4624 c=12.7359 alpha=98.01 beta=98.01 gamma=67.17
Fractional positions:
La1 0.0000 0.0000 0.0000
La2 0.0000 0.0000 0.5000
La3 0.2677 0.2677 0.5340
La4 0.3773 0.3773 0.7852
La5 0.6227 0.6227 0.2148
La6 0.7323 0.7323 0.4660
Pm1 0.1410 0.1410 0.2622
Pm2 0.8590 0.8590 0.7378
Ho1 0.0675 0.6723 0.2178
Ho2 0.2587 0.2587 0.0218
Ho3 0.3210 0.6790 0.0000
Ho4 0.3277 0.9325 0.7822
Ho5 0.4472 0.4472 0.3756
Ho6 0.5528 0.5528 0.6244
Ho7 0.6723 0.0675 0.2178
Ho8 0.6790 0.3210 0.0000
Ho9 0.7413 0.7413 0.9782
Ho10 0.9325 0.3277 0.7822

* Fermi-level density of states: 30.5 states/eV/cell
* SG: No. 12
* energy of formation from the pure elements: 422 meV per atom
* calculated volume: 322.23 Å³/f.u.
* mass density: 7.1 g/cm³

---

Here is crystalline La9Pm4Ho at its relaxed geometry from the Alexandria database. Energies are from GGA-PBE.

Unit cell a=10.0784 b=10.0784 c=11.6432 alpha=90.00 beta=90.00 gamma=120.00
Fractional positions:
La1 0.0794 0.5397 0.2500
La2 0.2073 0.4145 0.5302
La3 0.2073 0.4145 0.9698
La4 0.2073 0.7927 0.5302
La5 0.2073 0.7927 0.9698
La6 0.4145 0.2073 0.0302
La7 0.4145 0.2073 0.4698
La8 0.4603 0.5397 0.2500
La9 0.4603 0.9206 0.2500
La10 0.5397 0.0794 0.7500
La11 0.5397 0.4603 0.7500
La12 0.5855 0.7927 0.5302
La13 0.5855 0.7927 0.9698
La14 0.7927 0.2073 0.0302
La15 0.7927 0.2073 0.4698
La16 0.7927 0.5855 0.0302
La17 0.7927 0.5855 0.4698
La18 0.9206 0.4603 0.7500
Pm1 0.0000 0.0000 0.0000
Pm2 0.0000 0.0000 0.5000
Pm3 0.1126 0.2252 0.2500
Pm4 0.1126 0.8874 0.2500
Pm5 0.2252 0.1126 0.7500
Pm6 0.7748 0.8874 0.2500
Pm7 0.8874 0.1126 0.7500
Pm8 0.8874 0.7748 0.7500
Ho1 0.3333 0.6667 0.7500
Ho2 0.6667 0.3333 0.2500

* Fermi-level density of states: 46.4 states/eV/cell
* SG: No. 194
* energy of formation from the pure elements: 142 meV per atom
* calculated volume: 512.10 Å³/f.u.
* mass density: 6.5 g/cm³

---

Here is crystalline La6Pm2Ho at its relaxed geometry from the Alexandria database. Energies are from GGA-PBE.

Unit cell a=3.6752 b=3.6752 c=27.6917 alpha=90.00 beta=90.00 gamma=120.00
Fractional positions:
La1 0.0000 0.0000 0.0625
La2 0.0000 0.0000 0.2805
La3 0.0000 0.0000 0.7195
La4 0.0000 0.0000 0.9375
La5 0.3333 0.6667 0.3949
La6 0.3333 0.6667 0.6051
Pm1 0.3333 0.6667 0.1698
Pm2 0.3333 0.6667 0.8302
Ho1 0.0000 0.0000 0.5000

* Fermi-level density of states: 17.1 states/eV/cell
* SG: No. 187
* energy of formation from the pure elements: 57 meV per atom
* calculated volume: 323.92 Å³/f.u.
* mass density: 6.6 g/cm³

---

Here is crystalline LaPm5Ho12 at its relaxed geometry from the Alexandria database. Energies are from GGA-PBE.

Unit cell a=10.7116 b=10.7116 c=6.1832 alpha=106.54 beta=106.54 gamma=60.01
Fractional positions:
La1 0.0000 0.0000 0.0000
Pm1 0.1673 0.1673 0.5010
Pm2 0.3330 0.3330 0.0003
Pm3 0.5000 0.5000 0.5000
Pm4 0.6670 0.6670 0.9997
Pm5 0.8327 0.8327 0.4990
Ho1 0.0012 0.6638 0.9992
Ho2 0.1656 0.5012 0.5008
Ho3 0.1691 0.8309 0.5000
Ho4 0.3333 0.6667 0.0000
Ho5 0.3362 0.9988 0.0008
Ho6 0.4988 0.8344 0.4992
Ho7 0.5012 0.1656 0.5008
Ho8 0.6638 0.0012 0.9992
Ho9 0.6667 0.3333 0.0000
Ho10 0.8309 0.1691 0.5000
Ho11 0.8344 0.4988 0.4992
Ho12 0.9988 0.3362 0.0008

* Fermi-level density of states: 22.9 states/eV/cell
* SG: No. 12
* energy of formation from the pure elements: 20 meV per atom
* calculated volume: 580.30 Å³/f.u.
* mass density: 8.1 g/cm³

---

Here is crystalline LaPm5Ho at its relaxed geometry from the Alexandria database. Energies are from GGA-PBE.

Unit cell a=8.0108 b=8.0108 c=8.0108 alpha=137.08 beta=113.11 gamma=82.83
Fractional positions:
La1 0.0000 0.0000 0.0000
Pm1 0.1805 0.5000 0.6805
Pm2 0.2495 0.2495 0.0000
Pm3 0.5000 0.0000 0.5000
Pm4 0.7505 0.7505 0.0000
Pm5 0.8195 0.5000 0.3195
Ho1 0.5000 0.5000 0.0000

* Fermi-level density of states: 11.8 states/eV/cell
* SG: No. 71
* energy of formation from the pure elements: 984 meV per atom
* calculated volume: 310.94 Å³/f.u.
* mass density: 5.5 g/cm³

---

Here is crystalline La3Pm4Ho2 at its relaxed geometry from the Alexandria database. Energies are from GGA-PBE.

Unit cell a=3.6388 b=3.6388 c=27.3628 alpha=90.00 beta=90.00 gamma=120.00
Fractional positions:
La1 0.0000 0.0000 0.0000
La2 0.0000 0.0000 0.3356
La3 0.6667 0.3333 0.6707
Pm1 0.0000 0.0000 0.5576
Pm2 0.0000 0.0000 0.7850
Pm3 0.6667 0.3333 0.2274
Pm4 0.6667 0.3333 0.4507
Ho1 0.6667 0.3333 0.1049
Ho2 0.6667 0.3333 0.8880

* Fermi-level density of states: 15.2 states/eV/cell
* SG: No. 156
* energy of formation from the pure elements: 73 meV per atom
* calculated volume: 313.77 Å³/f.u.
* mass density: 7.0 g/cm³

---

Here is crystalline La6PmHo8 at its relaxed geometry from the Alexandria database. Energies are from GGA-PBE.

Unit cell a=8.8329 b=8.8329 c=8.8329 alpha=62.10 beta=62.10 gamma=62.10
Fractional positions:
La1 0.0339 0.5931 0.7331
La2 0.2669 0.9661 0.4069
La3 0.4069 0.2669 0.9661
La4 0.5931 0.7331 0.0339
La5 0.7331 0.0339 0.5931
La6 0.9661 0.4069 0.2669
Pm1 0.5000 0.5000 0.5000
Ho1 0.0767 0.0767 0.0767
Ho2 0.2044 0.6141 0.2633
Ho3 0.2633 0.2044 0.6141
Ho4 0.3859 0.7367 0.7956
Ho5 0.6141 0.2633 0.2044
Ho6 0.7367 0.7956 0.3859
Ho7 0.7956 0.3859 0.7367
Ho8 0.9233 0.9233 0.9233

* Fermi-level density of states: 23.0 states/eV/cell
* SG: No. 148
* energy of formation from the pure elements: 117 meV per atom
* calculated volume: 510.15 Å³/f.u.
* mass density: 7.5 g/cm³